First-principles (PBE) data for crystalline Ac6NdSm8 at its relaxed geometry, as listed in Alexandria.

Cell: 9.1739 9.1739 9.1739 Å, 62.55 62.55 62.55°
Fractional coordinates of all 15 atoms:
Ac 0.0405 0.7383 0.5896
Ac 0.2617 0.4104 0.9595
Ac 0.4104 0.9595 0.2617
Ac 0.5896 0.0405 0.7383
Ac 0.7383 0.5896 0.0405
Ac 0.9595 0.2617 0.4104
Nd 0.5000 0.5000 0.5000
Sm 0.0747 0.0747 0.0747
Sm 0.2059 0.2615 0.6127
Sm 0.2615 0.6127 0.2059
Sm 0.3873 0.7941 0.7385
Sm 0.6127 0.2059 0.2615
Sm 0.7385 0.3873 0.7941
Sm 0.7941 0.7385 0.3873
Sm 0.9253 0.9253 0.9253

Space group: R-3 (148)
Calculated volume: 576.99 Å³/f.u.
D(E_F): 23.10 states/eV/cell
Total magnetic moment: 0.00 μB/cell
Final energy: -0.3199 Ry per atom